Entry 1:
VASP calculation (SCAN) on a PBEsol-optimized structure of ZnIrRh2.

abc: 2.6967 4.3384 4.6272
angles: 90.00 90.00 90.00
Fractional coordinates of all 4 atoms:
Ir: 0.5000 0.5000 0.2038
Zn: 0.5000 0.0000 0.5487
Rh: 0.0000 0.0000 0.0463
Rh: 0.0000 0.5000 0.7011

Computed properties:
Its calculated formation energy is -0.15 eV/atom. For the final energy, the calculation gives -38.19 eV per atom. As for the crystal system: orthorhombic.

=====

Entry 2:
VASP calculation (SCAN) on a PBEsol-optimized structure of ZnIrRh2.

abc: 3.7906 3.7906 4.6093
angles: 114.28 114.28 90.00
Fractional coordinates of all 4 atoms:
Rh: 0.7500 0.2500 0.5000
Rh: 0.2500 0.7500 0.5000
Ir: 0.0000 0.0000 0.0000
Zn: 0.5000 0.5000 0.0000

Computed properties:
Its calculated formation energy is -0.18 eV/atom. For the final energy, the calculation gives -38.22 eV per atom. As for the crystal system: tetragonal.

=====

Entry 3:
VASP calculation (SCAN) on a PBEsol-optimized structure of ZnIrRh2.

abc: 2.6980 4.6134 4.6215
angles: 99.68 106.97 90.00
Fractional coordinates of all 4 atoms:
Rh: 0.2519 0.7431 0.5038
Rh: 0.0010 0.0102 0.0019
Zn: 0.5000 0.5094 0.0000
Ir: 0.7471 0.2373 0.4942

Computed properties:
Its calculated formation energy is -0.16 eV/atom. For the final energy, the calculation gives -38.20 eV per atom. As for the crystal system: monoclinic.

=====

Entry 4:
VASP calculation (SCAN) on a PBEsol-optimized structure of ZnIrRh2.

abc: 4.2624 4.2624 4.2624
angles: 60.00 60.00 60.00
Each line ends with the local moment (μB).
Fractional coordinates of all 4 atoms:
Rh: 0.7500 0.7500 0.7500  -0.25
Rh: 0.0000 0.0000 0.0000  -0.34
Ir: 0.5000 0.5000 0.5000  -0.34
Zn: 0.2500 0.2500 0.2500  0.01

Computed properties:
Its calculated formation energy is 0.08 eV/atom. For the final energy, the calculation gives -37.96 eV per atom. As for the crystal system: cubic.

=====

Entry 5:
VASP calculation (SCAN) on a PBEsol-optimized structure of Zr4IrRh.

abc: 5.3933 5.3933 5.3933
angles: 60.00 60.00 60.00
Fractional coordinates of all 6 atoms:
Zr: 0.3753 0.8740 0.3753
Zr: 0.3753 0.3753 0.8740
Zr: 0.8740 0.3753 0.3753
Zr: 0.3753 0.3753 0.3753
Rh: 0.0000 0.0000 0.0000
Ir: 0.7500 0.7500 0.7500

Computed properties:
Its calculated formation energy is 0.32 eV/atom. For the final energy, the calculation gives -37.62 eV per atom. As for the crystal system: cubic.

=====

Entry 6:
VASP calculation (SCAN) on a PBEsol-optimized structure of Zr3IrRh.

abc: 4.9183 4.9183 4.9183
angles: 90.00 90.00 90.00
Fractional coordinates of all 5 atoms:
Zr: 0.0000 0.5000 0.0000
Zr: 0.0000 0.0000 0.5000
Zr: 0.5000 0.0000 0.0000
Ir: 0.0000 0.0000 0.0000
Rh: 0.5000 0.5000 0.5000

Computed properties:
Its calculated formation energy is 0.23 eV/atom. For the final energy, the calculation gives -39.16 eV per atom. As for the crystal system: cubic.

=====

Entry 7:
VASP calculation (SCAN) on a PBEsol-optimized structure of ZrIrRh.

abc: 3.2507 3.2507 5.1595
angles: 108.36 108.36 90.00
Each line ends with the local moment (μB).
Fractional coordinates of all 3 atoms:
Ir: 0.9911 0.9911 0.9822  0.37
Zr: 0.3325 0.3325 0.6650  -0.04
Rh: 0.6764 0.6764 0.3528  0.47

Computed properties:
Its calculated formation energy is -0.51 eV/atom. For the final energy, the calculation gives -45.70 eV per atom. As for the crystal system: tetragonal.

=====

Entry 8:
VASP calculation (SCAN) on a PBEsol-optimized structure of ZrIrRh3.

abc: 4.6258 4.6258 4.6258
angles: 90.00 90.00 90.00
Fractional coordinates of all 5 atoms:
Rh: 0.5000 0.0000 0.0000
Rh: 0.0000 0.5000 0.0000
Rh: 0.0000 0.0000 0.5000
Ir: 0.0000 0.0000 0.0000
Zr: 0.5000 0.5000 0.5000

Computed properties:
Its calculated formation energy is 0.97 eV/atom. For the final energy, the calculation gives -39.65 eV per atom. As for the crystal system: cubic.